Record 1
Compound: CuSeBr3
Source: the Alexandria database
Functional: PBE-GGA
Structure: relaxed

a b c (Å): 4.063 11.827 21.747
angles (deg): 34.84 90.00 90.00
Atoms (fractional coordinates):
Cu 0.697 0.533 0.913
Cu 0.803 0.533 0.413
Cu 0.303 0.467 0.087
Cu 0.197 0.467 0.587
Br 0.839 0.277 0.604
Br 0.161 0.723 0.396
Br 0.054 0.341 0.933
Br 0.339 0.723 0.896
Br 0.446 0.341 0.433
Br 0.247 0.200 0.775
Br 0.747 0.800 0.725
Br 0.554 0.659 0.567
Br 0.753 0.800 0.225
Br 0.253 0.200 0.275
Br 0.946 0.659 0.067
Br 0.661 0.277 0.104
Se 0.798 0.024 0.454
Se 0.298 0.976 0.046
Se 0.702 0.024 0.954
Se 0.202 0.976 0.546

Values from the calculation:
E_tot = -52.75 eV/cell
E_form (uncorrected) = -57 kJ/mol of formula units

Record 2
Compound: AcTbNd2Tm5
Source: the Alexandria database
Functional: PBE-GGA
Structure: relaxed

a b c (Å): 8.796 8.796 9.936
angles (deg): 116.27 116.27 90.00
Atoms (fractional coordinates):
Tm 0.926 0.426 0.266
Tm 0.341 0.841 0.266
Tm 0.659 0.159 0.734
Tm 0.426 0.341 0.266
Tm 0.574 0.659 0.734
Tm 0.000 0.000 0.000
Tm 0.074 0.574 0.734
Tm 0.841 0.926 0.266
Tm 0.500 0.500 0.000
Tm 0.159 0.074 0.734
Ac 0.750 0.750 0.500
Ac 0.250 0.250 0.500
Nd 0.617 0.117 0.000
Nd 0.883 0.617 0.000
Nd 0.117 0.383 0.000
Nd 0.383 0.883 0.000
Tb 0.250 0.750 0.500
Tb 0.750 0.250 0.500

Values from the calculation:
E_tot = -76.61 eV/cell
ΔH_f (0 K) = 6.0 kcal/mol of atoms

Record 3
Compound: RbSr3C
Source: the Alexandria database
Functional: PBE-GGA
Structure: relaxed

a b c (Å): 5.820 5.820 5.820
angles (deg): 90.00 90.00 90.00
Atoms (fractional coordinates):
C 0.000 0.000 0.000
Rb 0.500 0.500 0.500
Sr 0.000 0.500 0.000
Sr 0.500 0.000 0.000
Sr 0.000 0.000 0.500

Values from the calculation:
E_tot = -12.85 eV/cell
ΔH_f (0 K) = 11.0 kcal/mol of atoms

Question: The highest E_tot belongs to which entry?
Answer: RbSr3C

Repeat the third record exactly.
Compound: RbSr3C
Source: the Alexandria database
Functional: PBE-GGA
Structure: relaxed

a b c (Å): 5.820 5.820 5.820
angles (deg): 90.00 90.00 90.00
Atoms (fractional coordinates):
C 0.000 0.000 0.000
Rb 0.500 0.500 0.500
Sr 0.000 0.500 0.000
Sr 0.500 0.000 0.000
Sr 0.000 0.000 0.500

Values from the calculation:
E_tot = -12.85 eV/cell
ΔH_f (0 K) = 11.0 kcal/mol of atoms